No. 1
First-principles (meta-GGA SCAN) data for a PBEsol-optimized structure of ScInPb, as listed in the Alexandria database.

Cell and atoms, written as extended XYZ:
```
3
Lattice="-1.055 -2.679 -1.495 4.110 -2.525 1.624 -4.224 0.080 2.838" Properties=species:S:1:pos:R:3 pbc="T T T"
In -0.995 -2.525 -1.409
Pb -2.211 -2.730 1.350
Sc 0.981 -2.549 1.531
```

Output
* ΔH_f (0 K): -0.221 eV per atom
* spin magnetization: 0.000 Bohr magnetons per cell
* symmetry: P3m1
* D(E_F): 1.866 states/eV per cell

=====

No. 2
First-principles (meta-GGA SCAN) data for a PBEsol-optimized structure of InPbSe2, as listed in the Alexandria database.

Cell and atoms, written as extended XYZ:
```
4
Lattice="3.623 0.152 0.153 -0.187 5.122 0.014 -0.187 -0.020 5.122" Properties=species:S:1:pos:R:3 pbc="T T T"
In 1.812 0.076 0.077
Pb 1.624 2.627 2.644
Se -0.094 2.561 0.007
Se -0.094 -0.010 2.561
```

Output
* E_form (uncorrected): -0.86 eV/f.u.
* spin magnetization: 0.000 Bohr magnetons per cell
* symmetry: C2/m
* D(E_F): 0.757 states/eV per cell

=====

No. 3
First-principles (meta-GGA SCAN) data for a PBEsol-optimized structure of In2PbSe, as listed in the Alexandria database.

Cell and atoms, written as extended XYZ:
```
4
Lattice="-3.199 1.808 1.012 -1.978 -3.220 -0.501 1.133 -1.734 6.676" Properties=species:S:1:pos:R:3 pbc="T T T"
In 1.105 -1.692 6.516
In -2.318 -1.119 1.847
Pb 0.578 -0.885 3.408
Se -1.711 -2.050 5.430
```

Output
* E_form (uncorrected): -0.20 eV/f.u.
* energy relative to the lowest polymorph listed for this composition: 151.9 meV per atom
* spin magnetization: 0.000 Bohr magnetons per cell
* symmetry: P4mm
* D(E_F): 1.912 states/eV per cell

=====

Question: Which formula does entry 2 have?
Answer: InPbSe2